## La2SmAg (PBE)

Data for a relaxed structure of La2SmAg.

```
La2SmAg
1.0
-2.731 2.385 -0.985
-3.594 -1.081 0.182
-2.661 3.965 9.816
La Sm Ag
2 1 1
direct
0.075 0.075 0.776 La
0.259 0.259 0.224 La
0.499 0.499 0.502 Sm
0.667 0.667 0.998 Ag
```

Summary:
Total DFT energy (no corrections): -4.35 eV/atom
Calculated formation energy: 0.00 eV/atom
E above lowest polymorph: 0.106 eV per atom
Symmetry: No. 160